First-principles (GGA+U) data for an optimized crystal structure of CoRe2SbO, as listed in the Alexandria database.

Unit cell a=5.0855 b=5.0855 c=3.9995 alpha=90.00 beta=90.00 gamma=90.00
Closest atoms and distances in Å follow each position.
Fractional coordinates of all 5 atoms:
Co (0.0000, 0.0000, 0.0000)  8 Re 3.23, 4 O 3.60
Re (0.0000, 0.5000, 0.5000)  2 Sb 2.54
Re (0.5000, 0.0000, 0.5000)  2 Sb 2.54
Sb (0.5000, 0.5000, 0.5000)  2 O 2.00
O (0.5000, 0.5000, 0.0000)  2 Sb 2.00

Properties
**Theoretical density**: 9.1 Mg/m³
**E_tot**: -5.86 eV/atom